1.
The following is a GGA-PBE calculation of an optimized crystal structure of AcTbNd2S4, from Alexandria.

```
AcTbNd2S4
1.0
7.069 0.000 0.000
0.000 4.054 0.000
-2.332 0.000 6.800
Ac Tb Nd S
1 1 2 4
direct
0.000 0.000 0.000
0.000 0.500 0.500
0.500 0.000 0.500
0.500 0.500 0.000
0.244 0.000 0.735
0.255 0.500 0.266
0.745 0.500 0.734
0.756 0.000 0.265
```

Output
* density of states at the Fermi level: 4.72 states/eV/cell
* formation energy from raw total energies: -1989 meV per atom
* size of the total moment: 0.0 μB/cell

2.
The following is a GGA-PBE calculation of an optimized crystal structure of Ir3Br5, from Alexandria.

```
Ir3Br5
1.0
7.328 0.000 0.000
-3.664 6.346 0.000
0.000 0.000 7.495
Ir Br
6 10
direct
0.000 0.417 0.250
0.000 0.583 0.750
0.417 0.000 0.250
0.417 0.417 0.750
0.583 0.000 0.750
0.583 0.583 0.250
0.000 0.249 0.750
0.000 0.751 0.250
0.249 0.000 0.750
0.249 0.249 0.250
0.333 0.667 0.000
0.333 0.667 0.500
0.667 0.333 0.000
0.667 0.333 0.500
0.751 0.000 0.250
0.751 0.751 0.750
```

Output
* density of states at the Fermi level: 11.48 states/eV/cell
* energy above the lowest structure with this stoichiometry: 362 kJ/mol of formula units
* formation energy from raw total energies: 862 meV per atom
* size of the total moment: 0.0 μB/cell

3.
The following is a GGA-PBE calculation of an optimized crystal structure of Tl2HgMo, from Alexandria.

```
Tl2HgMo
1.0
-2.090 2.090 4.974
2.090 -2.090 4.974
2.090 2.090 -4.974
Tl Hg Mo
2 1 1
direct
0.000 0.000 0.000
0.750 0.250 0.500
0.250 0.750 0.500
0.500 0.500 0.000
```

Output
* density of states at the Fermi level: 2.24 states/eV/cell
* energy above the lowest structure with this stoichiometry: 59 kJ/mol of formula units
* calculated formation energy: 0.703 eV per atom
* size of the total moment: 0.1 μB/cell

4.
The following is a GGA-PBE calculation of an optimized crystal structure of RbTi2Fe, from Alexandria.

```
RbTi2Fe
1.0
-3.552 3.552 5.032
3.552 -3.552 5.032
3.552 3.552 -5.032
Rb Ti Fe
2 4 2
direct
0.375 0.625 0.750
0.625 0.375 0.250
0.000 0.000 0.000
0.000 0.000 0.500
0.000 0.500 0.000
0.500 0.000 0.500
0.125 0.875 0.250
0.875 0.125 0.750
```

Output
* density of states at the Fermi level: 5.61 states/eV/cell
* energy above the lowest structure with this stoichiometry: 0 kJ/mol of formula units
* calculated formation energy: 1.053 eV per atom
* size of the total moment: 4.0 μB/cell

5.
The following is a GGA-PBE calculation of an optimized crystal structure of TbPm3Rh, from Alexandria.

```
TbPm3Rh
1.0
5.540 0.000 0.000
0.000 5.540 0.000
0.000 0.000 5.540
Tb Pm Rh
1 3 1
direct
0.000 0.000 0.000
0.000 0.500 0.500
0.500 0.000 0.500
0.500 0.500 0.000
0.500 0.500 0.500
```

Output
* density of states at the Fermi level: 8.95 states/eV/cell
* energy above the lowest structure with this stoichiometry: 90 kJ/mol of formula units
* calculated formation energy: -0.126 eV per atom
* size of the total moment: 0.8 μB/cell

6.
The following is a GGA-PBE calculation of an optimized crystal structure of YGaSi2Ni5, from Alexandria.

```
YGaSi2Ni5
1.0
3.747 0.000 0.000
0.000 3.747 0.000
0.000 0.000 9.995
Y Ga Si Ni
1 1 2 5
direct
0.000 0.000 0.000
0.000 0.000 0.500
0.500 0.500 0.219
0.500 0.500 0.781
0.000 0.500 0.346
0.000 0.500 0.654
0.500 0.000 0.346
0.500 0.000 0.654
0.500 0.500 0.000
```

Output
* density of states at the Fermi level: 5.79 states/eV/cell
* formation energy from raw total energies: -296 meV per atom
* size of the total moment: 0.0 μB/cell